1.
Material: MnGaCl5
Method: DFT, PBE
State: relaxed

Cell: 6.966 6.966 9.283 Å, 109.55 109.55 90.14°
Element x y z (fractional)
Mn: 0.000 0.000 0.000
Mn: 0.000 0.000 0.500
Ga: 0.383 0.617 0.750
Ga: 0.617 0.383 0.250
Cl: 0.067 0.933 0.250
Cl: 0.250 0.724 0.543
Cl: 0.276 0.328 0.157
Cl: 0.276 0.750 0.957
Cl: 0.328 0.276 0.657
Cl: 0.672 0.724 0.343
Cl: 0.724 0.250 0.043
Cl: 0.724 0.672 0.843
Cl: 0.750 0.276 0.457
Cl: 0.933 0.067 0.750

Crystal system ... monoclinic
Formation energy from raw total energies ... -1.062 eV/atom
V ... 28.33 Å³ per atom
Uncorrected energy ... -28.863 eV per formula unit

=====

2.
Material: MnGaCl4
Method: DFT, PBE
State: relaxed

Cell: 5.897 5.897 11.213 Å, 90.00 90.00 90.00°
Element x y z (fractional)
Mn: 0.000 0.000 0.000
Mn: 0.000 0.000 0.500
Ga: 0.000 0.500 0.250
Ga: 0.500 0.000 0.750
Cl: 0.218 0.246 0.382
Cl: 0.218 0.754 0.118
Cl: 0.246 0.218 0.882
Cl: 0.246 0.782 0.618
Cl: 0.754 0.218 0.618
Cl: 0.754 0.782 0.882
Cl: 0.782 0.246 0.118
Cl: 0.782 0.754 0.382

Crystal system ... tetragonal
Energy relative to the lowest polymorph listed for this composition ... 8 meV/atom
Formation energy from raw total energies ... -0.891 eV/atom
V ... 32.49 Å³ per atom
Uncorrected energy ... -24.931 eV per formula unit

=====

3.
Material: MnGa3Cl
Method: DFT, PBE
State: relaxed

Cell: 5.416 5.416 5.416 Å, 90.00 90.00 90.00°
Element x y z (fractional)
Mn: 0.000 0.000 0.000
Ga: 0.000 0.500 0.500
Ga: 0.500 0.000 0.500
Ga: 0.500 0.500 0.000
Cl: 0.500 0.500 0.500

Crystal system ... cubic
Energy relative to the lowest polymorph listed for this composition ... 599 meV/atom
Formation energy from raw total energies ... 0.643 eV/atom
V ... 31.76 Å³ per atom
Uncorrected energy ... -16.881 eV per formula unit

=====

4.
Material: Na2MnGaCl
Method: DFT, PBE
State: relaxed

Cell: 5.738 5.738 5.251 Å, 90.00 90.00 90.00°
Element x y z (fractional)
Na: 0.000 0.500 0.000
Na: 0.500 0.000 0.000
Mn: 0.000 0.000 0.500
Ga: 0.500 0.500 0.000
Cl: 0.500 0.500 0.500

Crystal system ... tetragonal
Formation energy from raw total energies ... 0.419 eV/atom
V ... 34.58 Å³ per atom
Uncorrected energy ... -14.587 eV per formula unit